# K2CuSb | Alexandria | SCAN | single point on PBEsol structure
data_K2CuSb
_space_group_name_H-M_alt 'R -3 m'
_space_group_IT_number 166
_space_group_name_Hall '-R 3 2"'
_cell_length_a 3.6454
_cell_length_b 3.6454
_cell_length_c 31.2617
_cell_angle_alpha 90.00
_cell_angle_beta 90.00
_cell_angle_gamma 120.00
loop_
_atom_site_label
_atom_site_type_symbol
_atom_site_fract_x
_atom_site_fract_y
_atom_site_fract_z
K1 K 0.0000 0.0000 0.2434
Cu1 Cu 0.0000 0.0000 0.5000
Sb1 Sb 0.0000 0.0000 0.0000
# - Total moment: 0.0 μB per formula unit
# - Raw total energy: -16.973 eV per atom

=====

# CaZrFe2 | Alexandria | SCAN | single point on PBEsol structure
data_CaZrFe2
_space_group_name_H-M_alt 'A m m 2'
_space_group_IT_number 38
_cell_length_a 3.656
_cell_length_b 3.899
_cell_length_c 10.647
_cell_angle_alpha 90.00
_cell_angle_beta 90.00
_cell_angle_gamma 90.00
loop_
_space_group_symop_operation_xyz
'x,y,z'
'-x,-y,z'
'-x,y,z'
'x,-y,z'
'x,y+1/2,z+1/2'
'-x,-y+1/2,z+1/2'
'-x,y+1/2,z+1/2'
'x,-y+1/2,z+1/2'
loop_
_atom_site_label
_atom_site_type_symbol
_atom_site_fract_x
_atom_site_fract_y
_atom_site_fract_z
Ca1 Ca 0.000 0.000 0.000
Zr1 Zr 0.500 0.000 0.717
Fe1 Fe 0.000 0.000 0.277
Fe2 Fe 0.500 0.000 0.382
# - Formation enthalpy at 0 K: 315 meV/atom
# - Total moment: 2.6 μB per formula unit
# - Raw total energy: -18.841 eV per atom

=====

# K2TaSb | Alexandria | SCAN | single point on PBEsol structure
data_K2TaSb
_space_group_name_H-M_alt 'C m m m'
_space_group_IT_number 65
_space_group_name_Hall '-C 2 2'
_cell_length_a 3.839
_cell_length_b 4.623
_cell_length_c 12.040
_cell_angle_alpha 90.00
_cell_angle_beta 90.00
_cell_angle_gamma 90.00
loop_
_atom_site_label
_atom_site_type_symbol
_atom_site_fract_x
_atom_site_fract_y
_atom_site_fract_z
K1 K 0.000 0.000 0.236
Ta1 Ta 0.000 0.500 0.500
Sb1 Sb 0.000 0.500 0.000
# - Total moment: 0.6 μB per formula unit
# - Raw total energy: -29.407 eV per atom

=====

# CdRe2W | Alexandria | SCAN | single point on PBEsol structure
data_CdRe2W
_space_group_name_H-M_alt 'P m m m'
_space_group_IT_number 47
_cell_length_a 3.166
_cell_length_b 4.429
_cell_length_c 4.474
_cell_angle_alpha 90.00
_cell_angle_beta 90.00
_cell_angle_gamma 90.00
loop_
_space_group_symop_operation_xyz
'x,y,z'
'-x,-y,-z'
'-x,-y,z'
'x,y,-z'
'x,-y,-z'
'-x,y,z'
'-x,y,-z'
'x,-y,z'
loop_
_atom_site_label
_atom_site_type_symbol
_atom_site_fract_x
_atom_site_fract_y
_atom_site_fract_z
Cd1 Cd 0.000 0.000 0.000
Re1 Re 0.000 0.500 0.500
Re2 Re 0.500 0.500 0.000
W1 W 0.500 0.000 0.500
# - Formation enthalpy at 0 K: 747 meV/atom
# - Total moment: 0.0 μB per formula unit
# - Raw total energy: -59.827 eV per atom

=====

# Nd2TlHg | Alexandria | SCAN | single point on PBEsol structure
data_Nd2TlHg
_space_group_name_H-M_alt 'F m -3 m'
_space_group_IT_number 225
_space_group_name_Hall '-F 4 2 3'
_cell_length_a 7.607
_cell_length_b 7.607
_cell_length_c 7.607
_cell_angle_alpha 90.00
_cell_angle_beta 90.00
_cell_angle_gamma 90.00
loop_
_atom_site_label
_atom_site_type_symbol
_atom_site_fract_x
_atom_site_fract_y
_atom_site_fract_z
Nd1 Nd 0.250 0.250 0.250
Tl1 Tl 0.000 0.000 0.000
Hg1 Hg 0.000 0.000 0.500
# - Formation enthalpy at 0 K: -659 meV/atom
# - Total moment: 0.9 μB per formula unit
# - Raw total energy: -57.581 eV per atom

=====

# ReAgOs2 | Alexandria | SCAN | single point on PBEsol structure
data_ReAgOs2
_space_group_name_H-M_alt 'P m m m'
_space_group_IT_number 47
_cell_length_a 2.724
_cell_length_b 3.875
_cell_length_c 5.539
_cell_angle_alpha 90.00
_cell_angle_beta 90.00
_cell_angle_gamma 90.00
loop_
_space_group_symop_operation_xyz
'x,y,z'
'-x,-y,-z'
'-x,-y,z'
'x,y,-z'
'x,-y,-z'
'-x,y,z'
'-x,y,-z'
'x,-y,z'
loop_
_atom_site_label
_atom_site_type_symbol
_atom_site_fract_x
_atom_site_fract_y
_atom_site_fract_z
Re1 Re 0.000 0.000 0.000
Ag1 Ag 0.000 0.000 0.500
Os1 Os 0.500 0.500 0.235
# - Formation enthalpy at 0 K: 514 meV/atom
# - Offset from the most stable computed form: 244.4 meV/atom
# - Total moment: 0.0 μB per formula unit
# - Raw total energy: -61.042 eV per atom

=====

# LiLaWCl2 | Alexandria | SCAN | single point on PBEsol structure
data_LiLaWCl2
_space_group_name_H-M_alt 'P 4/m m m'
_space_group_IT_number 123
_space_group_name_Hall '-P 4 2'
_cell_length_a 5.291
_cell_length_b 5.291
_cell_length_c 6.882
_cell_angle_alpha 90.00
_cell_angle_beta 90.00
_cell_angle_gamma 90.00
loop_
_atom_site_label
_atom_site_type_symbol
_atom_site_fract_x
_atom_site_fract_y
_atom_site_fract_z
Li1 Li 0.000 0.000 0.000
La1 La 0.000 0.000 0.500
W1 W 0.500 0.500 0.000
Cl1 Cl 0.000 0.500 0.500
# - Total moment: 4.7 μB per formula unit
# - Raw total energy: -25.795 eV per atom

=====

# Sr2CoSb | Alexandria | SCAN | single point on PBEsol structure
data_Sr2CoSb
_space_group_name_H-M_alt 'P 4/m m m'
_space_group_IT_number 123
_space_group_name_Hall '-P 4 2'
_cell_length_a 5.138
_cell_length_b 5.138
_cell_length_c 4.209
_cell_angle_alpha 90.00
_cell_angle_beta 90.00
_cell_angle_gamma 90.00
loop_
_atom_site_label
_atom_site_type_symbol
_atom_site_fract_x
_atom_site_fract_y
_atom_site_fract_z
Sr1 Sr 0.000 0.500 0.000
Co1 Co 0.000 0.000 0.500
Sb1 Sb 0.500 0.500 0.500
# - Total moment: 2.0 μB per formula unit
# - Raw total energy: -25.112 eV per atom

=====

| no. | D(E_F) (states/eV/atom) |
| --- | --- |
| 1 | 0.3720 |
| 2 | 0.8542 |
| 3 | 0.6035 |
| 4 | 0.6679 |
| 5 | 0.5418 |
| 6 | 0.9474 |
| 7 | 0.3811 |
| 8 | 0.2404 |